A plane-wave DFT calculation with GGA-PBE was carried out for a relaxed CeNdTmLu crystal.

The space group is F-43m (No. 216) and the conventional cell measures 7.973, 7.973 and 7.973 Å, with angles of 90.00, 90.00 and 90.00 degrees. The asymmetric unit holds Ce at (0.000, 0.000, 0.000), Nd at (0.000, 0.000, 0.500), Tm at (0.250, 0.250, 0.250) and Lu at (0.250, 0.250, 0.750).

For the volume, the calculation gives 126.7 Å³/f.u. As for the formation energy: 52 kJ/mol of formula units. The value obtained for the energy is -4.7897 eV per atom. The value obtained for the magnetic moment is 0.5 μB per formula unit.

A plane-wave DFT calculation with GGA-PBE was carried out for a relaxed CeNdLuZn crystal.

The space group is F-43m (No. 216) and the conventional cell measures 7.584, 7.584 and 7.584 Å, with angles of 90.00, 90.00 and 90.00 degrees. The asymmetric unit holds Ce at (0.000, 0.000, 0.000), Nd at (0.000, 0.000, 0.500), Lu at (0.250, 0.250, 0.250) and Zn at (0.250, 0.250, 0.750).

For the volume, the calculation gives 109.0 Å³/f.u. As for the formation energy: 20 kJ/mol of formula units. The value obtained for the energy is -4.0713 eV per atom. The value obtained for the magnetic moment is 1.3 μB per formula unit.

A plane-wave DFT calculation with GGA-PBE was carried out for a relaxed CeNdLuZr crystal.

The space group is F-43m (No. 216) and the conventional cell measures 7.779, 7.779 and 7.779 Å, with angles of 90.00, 90.00 and 90.00 degrees. The asymmetric unit holds Ce at (0.000, 0.000, 0.000), Nd at (0.250, 0.250, 0.250), Lu at (0.000, 0.000, 0.500) and Zr at (0.250, 0.250, 0.750).

For the volume, the calculation gives 117.7 Å³/f.u. As for the formation energy: 97 kJ/mol of formula units. The value obtained for the energy is -5.6921 eV per atom. The value obtained for the magnetic moment is 3.4 μB per formula unit.

A plane-wave DFT calculation with GGA-PBE was carried out for a relaxed CeLuNi4 crystal.

The space group is F-43m (No. 216) and the conventional cell measures 7.139, 7.139 and 7.139 Å, with angles of 90.00, 90.00 and 90.00 degrees. The asymmetric unit holds Ce at (0.000, 0.000, 0.000), Lu at (0.250, 0.250, 0.750) and Ni at (0.124, 0.124, 0.376).

For the volume, the calculation gives 91.0 Å³/f.u. As for the formation energy: -253 kJ/mol of formula units. The value obtained for the energy is -6.0344 eV per atom. The value obtained for the magnetic moment is 0.2 μB per formula unit.

A plane-wave DFT calculation with GGA-PBE was carried out for a relaxed CeLu3Ni crystal.

The space group is Pm-3m (No. 221) and the conventional cell measures 5.199, 5.199 and 5.199 Å, with angles of 90.00, 90.00 and 90.00 degrees. The asymmetric unit holds Ce at (0.000, 0.000, 0.000), Lu at (0.000, 0.500, 0.500) and Ni at (0.500, 0.500, 0.500).

For the volume, the calculation gives 140.5 Å³/f.u. As for the formation energy: -25 kJ/mol of formula units. The value obtained for the energy is -5.1066 eV per atom. The value obtained for the magnetic moment is 1.1 μB per formula unit.

A plane-wave DFT calculation with GGA-PBE was carried out for a relaxed CeLu2Ni crystal.

The space group is P4/mmm (No. 123) and the conventional cell measures 3.337, 3.337 and 8.577 Å, with angles of 90.00, 90.00 and 90.00 degrees. The asymmetric unit holds Ce at (0.000, 0.000, 0.000), Lu at (0.500, 0.500, 0.315) and Ni at (0.000, 0.000, 0.500).

For the volume, the calculation gives 95.5 Å³/f.u. As for the formation energy: -76 kJ/mol of formula units. The value obtained for the energy is -5.3862 eV per atom. The value obtained for the magnetic moment is 1.0 μB per formula unit.

A plane-wave DFT calculation with GGA-PBE was carried out for a relaxed CeLuNiPd crystal.

The space group is F-43m (No. 216) and the conventional cell measures 6.906, 6.906 and 6.906 Å, with angles of 90.00, 90.00 and 90.00 degrees. The asymmetric unit holds Ce at (0.000, 0.000, 0.000), Lu at (0.000, 0.000, 0.500), Ni at (0.250, 0.250, 0.750) and Pd at (0.250, 0.250, 0.250).

For the volume, the calculation gives 82.3 Å³/f.u. As for the formation energy: -207 kJ/mol of formula units. The value obtained for the energy is -5.8940 eV per atom. The value obtained for the magnetic moment is 0.5 μB per formula unit.

A plane-wave DFT calculation with GGA-PBE was carried out for a relaxed CeLuNiPt crystal.

The space group is F-43m (No. 216) and the conventional cell measures 6.898, 6.898 and 6.898 Å, with angles of 90.00, 90.00 and 90.00 degrees. The asymmetric unit holds Ce at (0.000, 0.000, 0.000), Lu at (0.000, 0.000, 0.500), Ni at (0.250, 0.250, 0.750) and Pt at (0.250, 0.250, 0.250).

For the volume, the calculation gives 82.0 Å³/f.u. As for the formation energy: -282 kJ/mol of formula units. The value obtained for the energy is -6.2991 eV per atom. The value obtained for the magnetic moment is 0.4 μB per formula unit.

A plane-wave DFT calculation with GGA-PBE was carried out for a relaxed CeLuZnNi crystal.

The space group is F-43m (No. 216) and the conventional cell measures 6.929, 6.929 and 6.929 Å, with angles of 90.00, 90.00 and 90.00 degrees. The asymmetric unit holds Ce at (0.000, 0.000, 0.000), Lu at (0.000, 0.000, 0.500), Zn at (0.250, 0.250, 0.250) and Ni at (0.250, 0.250, 0.750).

For the volume, the calculation gives 83.2 Å³/f.u. As for the formation energy: -108 kJ/mol of formula units. The value obtained for the energy is -4.6570 eV per atom. The value obtained for the magnetic moment is 0.0 μB per formula unit.

A plane-wave DFT calculation with GGA-PBE was carried out for a relaxed CeLuNp crystal.

The space group is I4mm (No. 107) and the conventional cell measures 3.658, 3.658 and 11.897 Å, with angles of 90.00, 90.00 and 90.00 degrees. The asymmetric unit holds Ce at (0.000, 0.000, 0.000), Lu at (0.000, 0.000, 0.714) and Np at (0.000, 0.000, 0.407).

For the volume, the calculation gives 79.6 Å³/f.u. As for the formation energy: 106 kJ/mol of formula units. The value obtained for the energy is -7.4339 eV per atom. The value obtained for the magnetic moment is 4.4 μB per formula unit.

A plane-wave DFT calculation with GGA-PBE was carried out for a relaxed CeLu3O crystal.

The space group is Pm-3m (No. 221) and the conventional cell measures 4.836, 4.836 and 4.836 Å, with angles of 90.00, 90.00 and 90.00 degrees. The asymmetric unit holds Ce at (0.000, 0.000, 0.000), Lu at (0.000, 0.500, 0.500) and O at (0.500, 0.500, 0.500).

The energy relative to the elements, uncorrected comes out at -0.99 eV/atom. For the volume, the calculation gives 113.1 Å³/f.u. The value obtained for the energy is -5.8781 eV per atom. The value obtained for the magnetic moment is 1.0 μB per formula unit.

A plane-wave DFT calculation with GGA-PBE was carried out for a relaxed CeLuO3 crystal.

The space group is Pnma (No. 62) and the conventional cell measures 5.988, 8.345 and 5.773 Å, with angles of 90.00, 90.00 and 90.00 degrees. The asymmetric unit holds Ce at (0.051, 0.250, 0.015), Lu at (0.000, 0.000, 0.500), O at (0.055, 0.750, 0.372) and O at (0.193, 0.566, 0.810).

The energy relative to the elements, uncorrected comes out at -3.46 eV/atom. For the volume, the calculation gives 72.1 Å³/f.u. The value obtained for the energy is -8.5229 eV per atom. The value obtained for the magnetic moment is 1.0 μB per formula unit.

A plane-wave DFT calculation with GGA-PBE was carried out for a relaxed CeLu2Os crystal.

The space group is P4/mmm (No. 123) and the conventional cell measures 3.348, 3.348 and 8.981 Å, with angles of 90.00, 90.00 and 90.00 degrees. The asymmetric unit holds Ce at (0.000, 0.000, 0.000), Lu at (0.500, 0.500, 0.321) and Os at (0.000, 0.000, 0.500).

For the volume, the calculation gives 100.7 Å³/f.u. Its relative energy among the computed polymorphs is 0 meV per atom. As for the formation energy: -65 kJ/mol of formula units. The value obtained for the energy is -6.7208 eV per atom. The value obtained for the magnetic moment is 1.3 μB per formula unit.

A plane-wave DFT calculation with GGA-PBE was carried out for a relaxed CeLuOs4 crystal.

The space group is F-43m (No. 216) and the conventional cell measures 7.580, 7.580 and 7.580 Å, with angles of 90.00, 90.00 and 90.00 degrees. The asymmetric unit holds Ce at (0.000, 0.000, 0.000), Lu at (0.250, 0.250, 0.750) and Os at (0.125, 0.125, 0.375).

For the volume, the calculation gives 108.9 Å³/f.u. As for the formation energy: -158 kJ/mol of formula units. The value obtained for the energy is -9.5021 eV per atom. The value obtained for the magnetic moment is 0.0 μB per formula unit.

A plane-wave DFT calculation with GGA-PBE was carried out for a relaxed CeLu2Os crystal.

The space group is Fm-3m (No. 225) and the conventional cell measures 7.064, 7.064 and 7.064 Å, with angles of 90.00, 90.00 and 90.00 degrees. The asymmetric unit holds Ce at (0.000, 0.000, 0.000), Lu at (0.250, 0.250, 0.250) and Os at (0.000, 0.000, 0.500).

For the volume, the calculation gives 88.1 Å³/f.u. Its relative energy among the computed polymorphs is 229 meV per atom. As for the formation energy: 23 kJ/mol of formula units. The value obtained for the energy is -6.4920 eV per atom. The value obtained for the magnetic moment is 0.0 μB per formula unit.